i.
! GaP2WS GGA-PBE optimized geometry; values from VASP
&SYSTEM
  ibrav = 0, nat = 5, ntyp = 4
/
ATOMIC_SPECIES
W 183.84 W.upf
P 30.97 P.upf
Ga 69.72 Ga.upf
S 32.06 S.upf
CELL_PARAMETERS angstrom
-4.1274 1.7002 1.6407
-0.9570 -4.2224 1.9681
2.1472 1.3696 3.9824
ATOMIC_POSITIONS crystal
W 0.0000 0.0000 0.0000
P 0.0000 0.5000 0.0000
P 0.5000 0.0000 0.0000
Ga 0.5000 0.5000 0.5000
S 0.0000 0.0000 0.5000
! SG: P4/mmm (123)



ii.
! GaP2WS GGA-PBE optimized geometry; values from VASP
&SYSTEM
  ibrav = 0, nat = 5, ntyp = 4
/
ATOMIC_SPECIES
P 30.97 P.upf
Ga 69.72 Ga.upf
W 183.84 W.upf
S 32.06 S.upf
CELL_PARAMETERS angstrom
-3.9721 1.0743 -1.8272
0.6378 -3.0953 -3.2066
-2.0434 -3.1215 2.6067
ATOMIC_POSITIONS crystal
P 0.5000 0.0000 0.0000
P 0.0000 0.5000 0.0000
Ga 0.0000 0.0000 0.0000
W 0.5000 0.5000 0.5000
S 0.0000 0.0000 0.5000
! SG: P4/mmm (123)



So which one is most stable? That would be i, about 111.6 kJ/mol of atoms below the next structure.